# 1
PuNpFeCu (PBE-GGA, optimized geometry); E_tot = -9.8438 eV per atom
1.0
0.000 3.107 3.107
3.107 0.000 3.107
3.107 3.107 0.000
Pu Np Fe Cu
1 1 1 1
direct
0.000 0.000 0.000
0.250 0.250 0.250
0.500 0.500 0.500
0.750 0.750 0.750

=====

# 2
NpFeCuSb (PBE-GGA, optimized geometry); raw formation energy = 0.113 eV per atom
1.0
0.000 3.286 3.286
3.286 0.000 3.286
3.286 3.286 0.000
Np Fe Cu Sb
1 1 1 1
direct
0.000 0.000 0.000
0.750 0.750 0.750
0.250 0.250 0.250
0.500 0.500 0.500

=====

Which formula does entry 2 have?
NpFeCuSb